1.
{
  "formula": "ZrTaVCu",
  "functional": "PBE",
  "state": "relaxed",
  "vol_a3_per_atom": 16.55,
  "lattice_angstrom": [[0.000, 3.211, 3.211], [3.211, 0.000, 3.211], [3.211, 3.211, 0.000]],
  "species": ["Zr", "Ta", "V", "Cu"],
  "fractional_positions": [[0.000, 0.000, 0.000], [0.500, 0.500, 0.500], [0.250, 0.250, 0.250], [0.750, 0.750, 0.750]]
}

2.
{
  "formula": "TaCuW2",
  "functional": "PBE",
  "state": "relaxed",
  "vol_a3_per_atom": 15.77,
  "relative_energy_mev_per_atom": 39.3,
  "lattice_angstrom": [[1.626, -2.185, 0.000], [1.626, 2.185, 0.000], [0.000, 0.000, 8.882]],
  "species": ["Ta", "Cu", "W", "W"],
  "fractional_positions": [[0.000, 0.000, 0.000], [0.000, 0.000, 0.500], [0.500, 0.500, 0.263], [0.500, 0.500, 0.737]]
}

3.
{
  "formula": "TaCuW2",
  "functional": "PBE",
  "state": "relaxed",
  "vol_a3_per_atom": 15.82,
  "relative_energy_mev_per_atom": 295.4,
  "lattice_angstrom": [[0.000, 3.163, 3.163], [3.163, 0.000, 3.163], [3.163, 3.163, 0.000]],
  "species": ["Ta", "Cu", "W", "W"],
  "fractional_positions": [[0.000, 0.000, 0.000], [0.500, 0.500, 0.500], [0.250, 0.250, 0.250], [0.750, 0.750, 0.750]]
}

| no. | VASP energy (eV for the cell shown) | DFT formation energy (meV/atom) |
| --- | --- | --- |
| 1 | -33.127 | 122 |
| 2 | -41.167 | 172 |
| 3 | -40.143 | 428 |